V2AsF | GGA+U | optimized geometry

Cell and atoms, written as extended XYZ:
```
8
Lattice="-2.504 2.504 6.348 2.504 -2.504 6.348 2.504 2.504 -6.348" Properties=species:S:1:pos:R:3 pbc="T T T"
V 3.756 0.886 -1.587
V 0.886 1.252 1.587
V -1.252 1.618 4.761
V 1.618 1.252 7.935
As 2.504 0.000 3.174
As 0.000 0.000 6.348
F 0.000 0.000 0.000
F 0.000 2.504 3.174
```

As for the total energy: -5.68 eV/atom. The density of states at the Fermi level is 0.1 states/eV/cell. Its calculated density is 4.085 g cm⁻³. As for the space-group type: I-42d, No. 122. Its volume is 19.90 Å³ per atom.